Record 1
DFT (PBE-GGA) results for a relaxed Mg2MnCd crystal.

Summary:
- ΔH_f (0 K): 0.81 eV per formula unit
- Magnetic moment: 3.61 μB/f.u.
- Energy: -37.4 eV per cell
- SG: R3m, No. 160

a = 3.0693 Å, b = 3.0693 Å, c = 29.6521 Å
α = 90.00°, β = 90.00°, γ = 120.00°
Element x y z (fractional)
Mg: 0.0000 0.0000 0.0000
Mg: 0.0000 0.0000 0.2426
Mg: 0.3333 0.6667 0.6667
Mg: 0.3333 0.6667 0.9093
Mg: 0.6667 0.3333 0.3333
Mg: 0.6667 0.3333 0.5759
Mn: 0.0000 0.0000 0.7431
Mn: 0.3333 0.6667 0.4098
Mn: 0.6667 0.3333 0.0764
Cd: 0.0000 0.0000 0.4875
Cd: 0.3333 0.6667 0.1541
Cd: 0.6667 0.3333 0.8208

***

Record 2
DFT (PBE-GGA) results for a relaxed Mg14MnCd crystal.

Summary:
- ΔH_f (0 K): 0.41 eV per formula unit
- Magnetic moment: 3.44 μB/f.u.
- Energy: -32.0 eV per cell
- Energy above the most stable polymorph in this dataset: 0 meV/atom
- SG: P-6m2, No. 187

a = 6.2866 Å, b = 6.2866 Å, c = 10.2158 Å
α = 90.00°, β = 90.00°, γ = 120.00°
Element x y z (fractional)
Mg: 0.0000 0.0000 0.2480
Mg: 0.0000 0.0000 0.7520
Mg: 0.0070 0.5035 0.2426
Mg: 0.0070 0.5035 0.7574
Mg: 0.3330 0.1665 0.0000
Mg: 0.3336 0.1668 0.5000
Mg: 0.4965 0.5035 0.2426
Mg: 0.4965 0.5035 0.7574
Mg: 0.4965 0.9930 0.2426
Mg: 0.4965 0.9930 0.7574
Mg: 0.8332 0.1668 0.5000
Mg: 0.8332 0.6664 0.5000
Mg: 0.8335 0.1665 0.0000
Mg: 0.8335 0.6670 0.0000
Mn: 0.3333 0.6667 0.0000
Cd: 0.3333 0.6667 0.5000